No. 1
PrMgPt | GGA-PBE | relaxed

Properties
Size of the total moment in μB/atom: 0.00
Total DFT energy (no corrections) in eV/cell: -42.1

a b c (Å): 7.227 7.227 4.396
angles (deg): 90.00 90.00 120.00
Fractional coordinates of all 9 atoms:
Pr: 0.000 0.564 0.000
Pr: 0.436 0.436 0.000
Pr: 0.564 0.000 0.000
Mg: 0.000 0.000 0.000
Mg: 0.333 0.667 0.500
Mg: 0.667 0.333 0.500
Pt: 0.000 0.250 0.500
Pt: 0.250 0.000 0.500
Pt: 0.750 0.750 0.500



No. 2
ZrSnNO | GGA-PBE | relaxed

Properties
Size of the total moment in μB/atom: 0.00
Total DFT energy (no corrections) in eV/cell: -61.5
Distance to the lowest polymorph of the same formula in eV/atom: 0.141

a b c (Å): 3.682 7.044 5.261
angles (deg): 90.00 90.00 90.00
Fractional coordinates of all 8 atoms:
Zr: 0.000 0.143 0.000
Zr: 0.000 0.857 0.500
Sn: 0.500 0.372 0.478
Sn: 0.500 0.628 0.978
N: 0.000 0.143 0.397
N: 0.000 0.857 0.897
O: 0.500 0.202 0.856
O: 0.500 0.798 0.356



No. 3
TcGePO | GGA-PBE | relaxed

Properties
Size of the total moment in μB/atom: 0.00
Total DFT energy (no corrections) in eV/cell: -52.9
Distance to the lowest polymorph of the same formula in eV/atom: 0.202

a b c (Å): 2.880 6.003 6.796
angles (deg): 90.00 90.00 90.00
Fractional coordinates of all 8 atoms:
Tc: 0.000 0.211 0.000
Tc: 0.000 0.789 0.500
Ge: 0.500 0.413 0.532
Ge: 0.500 0.587 0.032
P: 0.000 0.124 0.332
P: 0.000 0.876 0.832
O: 0.500 0.307 0.792
O: 0.500 0.693 0.292